Computed, not measured: crystalline KNa2GaSb2 at its relaxed geometry at the PBE level of DFT.

* total magnetic moment: 0.0 μB per formula unit
* uncorrected formation energy: -337 meV per atom
* DOS at the Fermi energy: 2.0 states/eV/cell

Cell and atoms, written as POSCAR:
```
KNa2GaSb2
1.0
4.805 0.000 0.000
0.000 8.893 0.000
0.000 0.000 8.312
K Na Ga Sb
2 4 2 4
direct
0.000 0.068 0.000 K
0.000 0.932 0.500 K
0.000 0.332 0.341 Na
0.000 0.668 0.841 Na
0.500 0.421 0.019 Na
0.500 0.579 0.519 Na
0.500 0.166 0.640 Ga
0.500 0.834 0.140 Ga
0.000 0.337 0.711 Sb
0.000 0.663 0.211 Sb
0.500 0.124 0.293 Sb
0.500 0.876 0.793 Sb
```